First-principles (PBE with a Hubbard U) data for a relaxed BaCr3O crystal, as listed in Alexandria via LeMat-Bulk.

Computed properties:
* DFT total energy: -5.695 eV per atom
* M_tot: 2.691 μB per atom

Cell: 4.7666 4.7666 4.7666 Å, 90.00 90.00 90.00°
Space group Pm-3m (No. 221)
One atom of each set of equivalent atoms:
Ba: 0.0000 0.0000 0.0000 x1
Cr: 0.0000 0.5000 0.5000 x3
O: 0.5000 0.5000 0.5000 x1